No. 1
VASP calculation (PBE-GGA) on a relaxed structure of MoAsIrSe2.

total magnetization: 0.00 μB per formula unit
offset from the most stable computed form: 0.092 eV per atom
raw total energy: -5.183 eV per atom
N(E_F): 0.906 states/eV per atom
raw formation energy: 1.08 eV per atom

Unit cell a=4.7876 b=4.7876 c=4.8605 alpha=90.00 beta=90.00 gamma=90.00
With the nearest neighbours (Å) after each atom.
Space group P4/mmm (No. 123)
One atom of each set of equivalent atoms:
Mo  0.0000  0.0000  0.0000  4 Se 2.39, 2 As 2.43
As  0.0000  0.0000  0.5000  2 Mo 2.43
Ir  0.5000  0.5000  0.5000  4 As 3.39, 8 Se 3.41
Se  0.0000  0.5000  0.0000  2 Mo 2.39

No. 2
VASP calculation (PBE-GGA) on a relaxed structure of TlInPt.

total magnetization: 0.00 μB per formula unit
offset from the most stable computed form: 0.055 eV per atom
raw total energy: -3.909 eV per atom
N(E_F): 0.502 states/eV per atom
energy relative to the elements: -0.1943 eV/atom

Unit cell a=5.6080 b=9.8013 c=19.3447 alpha=90.00 beta=90.00 gamma=90.00
With the nearest neighbours (Å) after each atom.
Space group Fddd (No. 70, origin choice 2)
One atom of each set of equivalent atoms:
Tl  0.1250  0.2947  0.1250  4 Pt 2.91-2.93, 2 Tl 3.22
In  0.1250  0.1250  0.5437  4 Pt 2.92-2.95, 1 In 3.15
Pt  0.1250  0.1250  0.0013  2 Pt 2.82, 4 Tl 2.91-2.93, 4 In 2.92-2.95

No. 3
VASP calculation (PBE-GGA) on a relaxed structure of ZrFeCo2S.

total magnetization: 4.96 μB per formula unit
raw total energy: -5.857 eV per atom
N(E_F): 1.716 states/eV per atom
raw formation energy: 1.21 eV per atom

Unit cell a=4.5745 b=4.5745 c=4.8184 alpha=90.00 beta=90.00 gamma=90.00
With the nearest neighbours (Å) after each atom.
Space group P4/mmm (No. 123)
One atom of each set of equivalent atoms:
Zr  0.0000  0.0000  0.0000  4 Co 2.29, 2 S 2.41
Fe  0.5000  0.5000  0.5000  4 S 3.23, 8 Co 3.32
Co  0.0000  0.5000  0.0000  2 Zr 2.29
S  0.0000  0.0000  0.5000  2 Zr 2.41

No. 4
VASP calculation (PBE-GGA) on a relaxed structure of LiZrPtPb.

total magnetization: 0.00 μB per formula unit
raw total energy: -5.471 eV per atom
N(E_F): 0.827 states/eV per atom
energy relative to the elements: -0.4182 eV/atom

Unit cell a=6.7087 b=6.7087 c=6.7087 alpha=90.00 beta=90.00 gamma=90.00
With the nearest neighbours (Å) after each atom.
Space group F-43m (No. 216)
One atom of each set of equivalent atoms:
Li  0.0000  0.0000  0.0000  4 Zr 2.90, 4 Pb 2.90
Zr  0.2500  0.2500  0.7500  4 Li 2.90, 4 Pt 2.90
Pt  0.0000  0.0000  0.5000  4 Pb 2.90, 4 Zr 2.90
Pb  0.2500  0.2500  0.2500  4 Li 2.90, 4 Pt 2.90

No. 5
VASP calculation (PBE-GGA) on a relaxed structure of GePbAu.

total magnetization: 0.00 μB per formula unit
offset from the most stable computed form: 0.000 eV per atom
raw total energy: -3.880 eV per atom
N(E_F): 0.327 states/eV per atom
energy relative to the elements: -0.0122 eV/atom

Unit cell a=10.8998 b=4.4907 c=7.6310 alpha=90.00 beta=131.31 gamma=90.00
With the nearest neighbours (Å) after each atom.
Space group C2/m (No. 12)
One atom of each set of equivalent atoms:
Ge  0.1516  0.0000  0.0692  3 Au 2.66-2.77, 1 Ge 2.73
Pb  0.0691  0.5000  0.3457  5 Au 3.18-3.25, 4 Ge 3.29-3.53, 1 Pb 3.53
Au  0.1776  0.0000  0.7313  3 Ge 2.66-2.77

No. 6
VASP calculation (PBE-GGA) on a relaxed structure of PmPrInGe.

total magnetization: 0.00 μB per formula unit
raw total energy: -4.716 eV per atom
N(E_F): 0.577 states/eV per atom
energy relative to the elements: -0.4944 eV/atom

Unit cell a=7.5787 b=7.5787 c=7.5787 alpha=90.00 beta=90.00 gamma=90.00
With the nearest neighbours (Å) after each atom.
Space group F-43m (No. 216)
One atom of each set of equivalent atoms:
Pm  0.0000  0.0000  0.0000  4 In 3.28, 4 Ge 3.28
Pr  0.0000  0.0000  0.5000  4 Ge 3.28, 4 In 3.28
In  0.2500  0.2500  0.7500  4 Pr 3.28, 4 Pm 3.28
Ge  0.2500  0.2500  0.2500  4 Pm 3.28, 4 Pr 3.28

Among the records above, which one has the lowest raw total energy?
ZrFeCo2S

raw total energy of number 1 (MoAsIrSe2)?
-5.183 eV per atom

What is the total magnetization in the first record?
0.00 μB per formula unit

What is the N(E_F) in the fifth record?
0.327 states/eV per atom